# 1
Co2AsCl | PBE | relaxed

Cell lengths 2.954, 3.116, 6.352 Å; angles 90.00, 90.00, 90.00 degrees
Positions (direct):
Co 0.000 0.000 0.195
Co 0.000 0.000 0.805
As 0.500 0.500 0.000
Cl 0.500 0.000 0.500

Results
**Energy relative to the elements, uncorrected**: 0.061 eV/atom
**ΔE to the lowest computed polymorph**: 0.103 eV/atom
**DFT total energy**: -20.46 eV for the cell shown
**Total moment**: 1.511 μB/cell

***

# 2
CoAs2Cl | PBE | relaxed

Cell lengths 4.584, 4.584, 4.584 Å; angles 60.00, 60.00, 60.00 degrees
Positions (direct):
Co 0.000 0.000 0.000
As 0.250 0.250 0.250
As 0.500 0.500 0.500
Cl 0.750 0.750 0.750

Results
**Energy relative to the elements, uncorrected**: 0.535 eV/atom
**ΔE to the lowest computed polymorph**: 0.736 eV/atom
**DFT total energy**: -16.11 eV for the cell shown
**Total moment**: 1.857 μB/cell

***

# 3
Co2AsCl | PBE | relaxed

Cell lengths 6.519, 6.519, 6.519 Å; angles 150.59, 150.59, 42.08 degrees
Positions (direct):
Co 0.000 0.000 0.000
Co 0.750 0.250 0.500
As 0.250 0.750 0.500
Cl 0.500 0.500 0.000

Results
**Energy relative to the elements, uncorrected**: 0.472 eV/atom
**ΔE to the lowest computed polymorph**: 0.514 eV/atom
**DFT total energy**: -18.82 eV for the cell shown
**Total moment**: 2.077 μB/cell

***

# 4
CoAsCl2 | PBE | relaxed

Cell lengths 7.332, 7.332, 4.228 Å; angles 98.38, 98.38, 24.90 degrees
Positions (direct):
Co 0.000 0.000 0.000
As 0.500 0.500 0.500
Cl 0.368 0.368 0.818
Cl 0.632 0.632 0.182

Results
**Energy relative to the elements, uncorrected**: -0.097 eV/atom
**ΔE to the lowest computed polymorph**: 0.363 eV/atom
**DFT total energy**: -15.84 eV for the cell shown
**Total moment**: 1.681 μB/cell

***

# 5
CoAsCl2 | PBE | relaxed

Cell lengths 4.627, 4.627, 4.627 Å; angles 60.00, 60.00, 60.00 degrees
Positions (direct):
Co 0.000 0.000 0.000
As 0.500 0.500 0.500
Cl 0.250 0.250 0.250
Cl 0.750 0.750 0.750

Results
**Energy relative to the elements, uncorrected**: 0.659 eV/atom
**ΔE to the lowest computed polymorph**: 1.119 eV/atom
**DFT total energy**: -12.81 eV for the cell shown
**Total moment**: 1.411 μB/cell

***

# 6
CoAs2Cl | PBE | relaxed

Cell lengths 4.281, 3.409, 7.036 Å; angles 90.00, 101.90, 90.00 degrees
Positions (direct):
Co 0.000 0.000 0.000
As 0.258 0.500 0.284
As 0.553 0.000 0.147
Cl 0.901 0.500 0.784

Results
**Energy relative to the elements, uncorrected**: -0.101 eV/atom
**ΔE to the lowest computed polymorph**: 0.100 eV/atom
**DFT total energy**: -18.66 eV for the cell shown
**Total moment**: 1.587 μB/cell

***

# 7
CoAs2Cl | PBE | relaxed

Cell lengths 2.675, 3.368, 8.304 Å; angles 90.00, 90.00, 90.00 degrees
Positions (direct):
Co 0.000 0.000 0.000
As 0.500 0.500 0.164
As 0.500 0.500 0.836
Cl 0.000 0.000 0.500

Results
**Energy relative to the elements, uncorrected**: 0.013 eV/atom
**ΔE to the lowest computed polymorph**: 0.215 eV/atom
**DFT total energy**: -18.20 eV for the cell shown
**Total moment**: 0.573 μB/cell

***

# 8
CoAsCl2 | PBE | relaxed

Cell lengths 8.336, 8.336, 8.336 Å; angles 23.93, 23.93, 23.93 degrees
Positions (direct):
Co 0.000 0.000 0.000
As 0.712 0.712 0.712
Cl 0.277 0.277 0.277
Cl 0.459 0.459 0.459

Results
**Energy relative to the elements, uncorrected**: -0.227 eV/atom
**ΔE to the lowest computed polymorph**: 0.233 eV/atom
**DFT total energy**: -16.36 eV for the cell shown
**Total moment**: 0.084 μB/cell

***

# 9
CoAs3Cl | PBE | relaxed

Cell lengths 4.633, 4.633, 4.633 Å; angles 90.00, 90.00, 90.00 degrees
Positions (direct):
Co 0.000 0.000 0.000
As 0.000 0.000 0.500
As 0.000 0.500 0.000
As 0.500 0.000 0.000
Cl 0.500 0.500 0.500

Results
**Energy relative to the elements, uncorrected**: 0.411 eV/atom
**ΔE to the lowest computed polymorph**: 0.000 eV/atom
**DFT total energy**: -20.85 eV for the cell shown
**Total moment**: 0.000 μB/cell

***

# 10
CoAs2Cl | PBE | relaxed

Cell lengths 4.499, 4.499, 4.499 Å; angles 60.00, 60.00, 60.00 degrees
Positions (direct):
Co 0.000 0.000 0.000
As 0.250 0.250 0.250
As 0.750 0.750 0.750
Cl 0.500 0.500 0.500

Results
**Energy relative to the elements, uncorrected**: 0.620 eV/atom
**ΔE to the lowest computed polymorph**: 0.821 eV/atom
**DFT total energy**: -15.77 eV for the cell shown
**Total moment**: 0.000 μB/cell